Here is a relaxed structure of CsTl2CuBr5 from Alexandria. Energies are from PBE.

Computed properties:
Energy relative to the elements, uncorrected ... -0.877 eV per atom
Crystal system ... tetragonal
Total moment ... 1.7 Bohr magnetons per cell

Cell: 9.085 9.085 9.968 Å, 117.11 117.11 90.00°
Site moments in Bohr magnetons follow the coordinates.
Element x y z (fractional)
Cs1 0.250 0.250 0.500  0.00
Cs2 0.750 0.750 0.500  0.00
Tl1 0.669 0.169 0.000  0.02
Tl2 0.331 0.831 0.000  0.02
Tl3 0.831 0.669 0.000  0.02
Tl4 0.169 0.331 0.000  0.02
Br1 0.786 0.004 0.290  0.08
Br2 0.000 0.000 0.000  0.01
Br3 0.504 0.286 0.290  0.08
Br4 0.714 0.214 0.710  0.08
Br5 0.286 0.786 0.290  0.08
Br6 0.214 0.996 0.710  0.08
Br7 0.496 0.714 0.710  0.08
Br8 0.500 0.500 0.000  0.01
Br9 0.996 0.496 0.710  0.08
Br10 0.004 0.504 0.290  0.08
Cu1 0.250 0.750 0.500  0.34
Cu2 0.750 0.250 0.500  0.34

=====

Here is a relaxed structure of Na4CeHo3S8 from Alexandria. Energies are from PBE.

Computed properties:
Energy relative to the elements, uncorrected ... -1.816 eV per atom
Crystal system ... trigonal
Total moment ... 1.0 Bohr magnetons per cell

Cell: 8.024 8.121 8.024 Å, 119.61 120.00 90.00°
Site moments in Bohr magnetons follow the coordinates.
Element x y z (fractional)
Ho1 0.000 0.500 0.500  0.01
Ho2 0.500 0.500 0.500  0.01
Ho3 0.500 0.500 0.000  0.01
S1 0.735 0.728 0.981  -0.01
S2 0.753 0.272 0.019  -0.01
S3 0.258 0.275 0.517  0.00
S4 0.247 0.728 0.981  -0.01
S5 0.753 0.272 0.506  -0.01
S6 0.247 0.728 0.494  -0.01
S7 0.742 0.725 0.483  0.00
S8 0.265 0.272 0.019  -0.01
Ce1 0.000 0.500 0.000  0.91
Na1 0.500 0.000 0.000  0.00
Na2 0.500 0.000 0.500  0.00
Na3 0.000 0.000 0.000  0.00
Na4 0.000 0.000 0.500  0.00

=====

Here is a relaxed structure of CaLaSm2 from Alexandria. Energies are from PBE.

Computed properties:
Crystal system ... tetragonal
Energy relative to the lowest polymorph listed for this composition ... 45 meV per atom
Energy of formation from the pure elements ... 8.8 kJ per mole of atoms
Total moment ... 0.0 Bohr magnetons per cell

Cell: 5.342 5.187 5.187 Å, 90.00 90.00 90.00°
Element x y z (fractional)
Sm1 0.000 0.500 0.000
Sm2 0.000 0.000 0.500
Ca1 0.500 0.500 0.500
La1 0.500 0.000 0.000

=====

Here is a relaxed structure of TbHoCo10 from Alexandria. Energies are from PBE.

Computed properties:
Crystal system ... orthorhombic
Energy of formation from the pure elements ... -10.7 kJ per mole of atoms
Total moment ... 14.3 Bohr magnetons per cell

Cell: 3.945 4.915 8.524 Å, 90.00 90.00 90.00°
Site moments in Bohr magnetons follow the coordinates.
Element x y z (fractional)
Tb1 0.000 0.000 0.000  -0.35
Co1 0.000 0.000 0.666  1.51
Co2 0.000 0.000 0.334  1.51
Co3 0.500 0.000 0.500  1.55
Co4 0.000 0.500 0.831  1.51
Co5 0.500 0.749 0.251  1.54
Co6 0.000 0.500 0.169  1.51
Co7 0.500 0.500 0.000  1.55
Co8 0.500 0.251 0.749  1.54
Co9 0.500 0.251 0.251  1.54
Co10 0.500 0.749 0.749  1.54
Ho1 0.000 0.500 0.500  -0.37

=====

Here is a relaxed structure of CaTl3W from Alexandria. Energies are from PBE.

Computed properties:
Crystal system ... cubic
Energy relative to the lowest polymorph listed for this composition ... 0 meV per atom
Energy of formation from the pure elements ... 48.7 kJ per mole of atoms
Total moment ... 0.0 Bohr magnetons per cell

Cell: 5.386 5.386 5.386 Å, 90.00 90.00 90.00°
Element x y z (fractional)
Tl1 0.000 0.000 0.500
Tl2 0.500 0.000 0.000
Tl3 0.000 0.500 0.000
Ca1 0.500 0.500 0.500
W1 0.000 0.000 0.000

=====

Here is a relaxed structure of K2CePO6 from Alexandria. Energies are from PBE.

Computed properties:
Energy relative to the elements, uncorrected ... -2.059 eV per atom
Crystal system ... trigonal
Total moment ... 1.1 Bohr magnetons per cell

Cell: 5.640 6.215 6.215 Å, 120.00 90.00 90.00°
Site moments in Bohr magnetons follow the coordinates.
Element x y z (fractional)
Ce1 0.500 0.000 0.000  -0.05
O1 0.182 0.871 0.129  0.16
O2 0.818 0.129 0.259  0.16
O3 0.182 0.259 0.129  0.16
O4 0.182 0.871 0.741  0.16
O5 0.818 0.129 0.871  0.16
O6 0.818 0.741 0.871  0.16
K1 0.091 0.333 0.667  0.00
K2 0.909 0.667 0.333  0.00
P1 0.000 0.000 0.000  -0.01

=====

Here is a relaxed structure of InGe2As from Alexandria. Energies are from PBE.

Computed properties:
Crystal system ... cubic
Energy relative to the lowest polymorph listed for this composition ... 252 meV per atom
Energy of formation from the pure elements ... 30.4 kJ per mole of atoms
Total moment ... 0.0 Bohr magnetons per cell

Cell: 4.952 4.952 4.952 Å, 60.00 60.00 60.00°
Element x y z (fractional)
Ge1 0.750 0.750 0.750
Ge2 0.250 0.250 0.250
As1 0.000 0.000 0.000
In1 0.500 0.500 0.500

=====

Here is a relaxed structure of NbSe2O2 from Alexandria. Energies are from PBE.

Computed properties:
Energy relative to the elements, uncorrected ... -0.961 eV per atom
Crystal system ... tetragonal
Energy relative to the lowest polymorph listed for this composition ... 0 meV per atom
Total moment ... 0.0 Bohr magnetons per cell

Cell: 5.452 5.452 5.939 Å, 90.00 90.00 90.00°
Element x y z (fractional)
Se1 0.155 0.655 0.500
Se2 0.655 0.845 0.500
Se3 0.845 0.345 0.500
Se4 0.345 0.155 0.500
O1 0.301 0.801 0.000
O2 0.199 0.301 0.000
O3 0.801 0.699 0.000
O4 0.699 0.199 0.000
Nb1 0.500 0.500 0.000
Nb2 0.000 0.000 0.000

=====

What is the formula in the fourth record?
TbHoCo10